A plane-wave DFT calculation with PBE was carried out for a relaxed structure of CeSm6YEr2.

```
10
Lattice="5.655 -3.476 0.000 5.655 3.476 0.000 -2.143 0.000 8.577" Properties=species:S:1:pos:R:3 pbc="T T T"
Ce 0.000 0.000 0.000
Sm 3.272 1.637 1.718
Sm 0.525 0.000 3.575
Sm 5.894 1.637 6.859
Sm 3.272 -1.637 1.718
Sm 8.642 0.000 5.002
Sm 5.894 -1.637 6.859
Y 4.583 0.000 4.289
Er 2.857 0.000 7.161
Er 6.309 0.000 1.416
```

- Space group: C2/m, No. 12
- DFT formation energy: 0.249 eV/atom

---

A plane-wave DFT calculation with PBE was carried out for a relaxed structure of Pm2Nd2Sm7.

```
11
Lattice="5.074 -4.716 0.000 5.074 4.716 0.000 -2.266 0.000 8.040" Properties=species:S:1:pos:R:3 pbc="T T T"
Pm 5.074 2.844 0.000
Pm 5.074 -2.844 0.000
Nd 2.692 0.000 5.458
Nd 5.190 0.000 2.582
Sm -1.133 0.000 4.020
Sm 2.354 1.926 2.615
Sm 0.698 0.000 7.870
Sm 5.528 1.926 5.426
Sm 2.354 -1.926 2.615
Sm 7.184 0.000 0.170
Sm 5.528 -1.926 5.426
```

- Space group: C2/m, No. 12
- DFT formation energy: 0.172 eV/atom

---

A plane-wave DFT calculation with PBE was carried out for a relaxed structure of ScPOF2.

```
5
Lattice="4.073 0.000 0.000 0.000 4.073 0.000 0.000 0.000 4.267" Properties=species:S:1:pos:R:3 pbc="T T T"
Sc 0.000 0.000 0.000
P 2.037 2.037 2.134
O 0.000 0.000 2.134
F 0.000 2.037 0.000
F 2.037 0.000 0.000
```

- Space group: P4/mmm, No. 123
- Uncorrected formation energy: -1.943 eV/atom

---

A plane-wave DFT calculation with PBE was carried out for a relaxed structure of Sc2H2Ru.

```
5
Lattice="3.181 0.000 0.000 0.000 3.181 0.000 0.000 0.000 6.176" Properties=species:S:1:pos:R:3 pbc="T T T"
Sc 0.000 0.000 1.485
Sc 0.000 0.000 4.691
H 0.000 1.590 0.000
H 1.590 0.000 0.000
Ru 1.590 1.590 3.088
```

- Space group: P4/mmm, No. 123
- DFT total energy: -6.17 eV per atom

---

A plane-wave DFT calculation with PBE was carried out for a relaxed structure of Cd7Ag2Hg2.

```
11
Lattice="3.750 -4.346 0.000 3.750 4.346 0.000 -1.617 0.000 7.372" Properties=species:S:1:pos:R:3 pbc="T T T"
Cd 0.000 0.000 0.000
Cd 0.773 1.628 6.002
Cd 0.426 0.000 2.939
Cd 0.773 -1.628 6.002
Cd 5.108 1.628 1.370
Cd 5.456 0.000 4.433
Cd 5.108 -1.628 1.370
Ag 2.694 0.000 1.071
Ag 3.187 0.000 6.302
Hg 2.941 1.633 3.686
Hg 2.941 -1.633 3.686
```

- Space group: C2/m, No. 12
- DFT formation energy: 0.011 eV/atom

---

A plane-wave DFT calculation with PBE was carried out for a relaxed structure of Li2ThAlAu4.

```
8
Lattice="2.229 1.287 8.725 -2.229 1.287 8.725 0.000 -2.573 8.725" Properties=species:S:1:pos:R:3 pbc="T T T"
Li 0.000 0.000 6.150
Li 0.000 0.000 20.026
Th 0.000 0.000 0.000
Al 0.000 0.000 13.088
Au 0.000 0.000 3.390
Au 0.000 0.000 10.420
Au 0.000 0.000 15.756
Au 0.000 0.000 22.785
```

- Space group: R-3m, No. 166
- DFT formation energy: -0.585 eV/atom

---

V? In order: 33.7; 35.0; 14.2; 12.5; 21.8; 18.8 Å³/atom.